# Sr2TaIr PBE-GGA optimized geometry
data_Sr2TaIr
_chemical_formula_sum 'Sr8 Ta4 Ir4'
_cell_length_a 7.5105
_cell_length_b 7.5105
_cell_length_c 7.5105
_cell_angle_alpha 90.00
_cell_angle_beta 90.00
_cell_angle_gamma 90.00
_space_group_name_H-M_alt 'F m -3 m'
_space_group_IT_number 225
_space_group_name_Hall '-F 4 2 3'
loop_
_atom_site_label
_atom_site_fract_x
_atom_site_fract_y
_atom_site_fract_z
Sr1 0.2500 0.2500 0.2500
Ta1 0.0000 0.0000 0.0000
Ir1 0.0000 0.0000 0.5000
# ΔH_f (0 K): 1.009 eV/atom
# Distance to the lowest polymorph of the same formula: 967 meV/atom
# Calculated volume: 106 Å³/f.u.